No. 1
First-principles (GGA-PBE) data for a geometry-optimized P2PdS4 structure, as listed in the Alexandria database.

Its calculated density is 3.41 g/cm³. The value obtained for the total energy is -4.46 eV per atom.

The space group is I4/m (No. 87) and the conventional cell measures 6.9327, 6.9327 and 6.0134 Å, with angles of 90.00, 90.00 and 90.00 degrees. The distinct sites, in fractional coordinates, are P at (0.0000, 0.5000, 0.2500), Pd at (0.0000, 0.0000, 0.0000) and S at (0.1603, 0.3113, 0.0000).

***

No. 2
First-principles (GGA-PBE) data for a geometry-optimized Sr2Cl structure, as listed in the Alexandria database.

Its calculated density is 2.40 g/cm³. As for the energy relative to the lowest polymorph listed for this composition: 80.74 kJ per mole of atoms.

The space group is P6/mmm (No. 191) and the conventional cell measures 6.5179, 6.5179 and 3.9591 Å, with angles of 90.00, 90.00 and 120.00 degrees. The distinct sites, in fractional coordinates, are Sr at (0.3333, 0.6667, 0.0000) and Cl at (0.0000, 0.0000, 0.5000).